(1)
This record from Alexandria via LeMat-Bulk describes an optimized crystal structure of Ho3PbSe2. The functional is PBE.

POSCAR file:
```
Ho3PbSe2
1.0
-2.105 2.974 6.257
2.105 -2.974 6.257
2.105 2.974 -6.257
Ho Pb Se
3 1 2
direct
0.000 0.000 0.000
0.325 0.325 0.000
0.675 0.675 0.000
0.500 0.000 0.500
0.165 0.665 0.500
0.835 0.335 0.500
```

Computed properties:
* formation energy without anion corrections: -1321 meV/atom
* space group: No. 71


(2)
This record from Alexandria via LeMat-Bulk describes an optimized crystal structure of HoPbSe. The functional is PBE.

POSCAR file:
```
HoPbSe
1.0
-1.887 1.887 11.978
1.887 -1.887 11.978
1.887 1.887 -11.978
Ho Pb Se
2 2 2
direct
0.165 0.165 0.000
0.835 0.835 0.000
0.435 0.435 0.000
0.565 0.565 0.000
0.294 0.294 0.000
0.706 0.706 0.000
```

Computed properties:
* formation energy without anion corrections: -1014 meV/atom
* space group: No. 139


(3)
This record from Alexandria via LeMat-Bulk describes an optimized crystal structure of Ho5PbSe4. The functional is PBE.

POSCAR file:
```
Ho5PbSe4
1.0
-4.630 4.630 2.929
4.630 -4.630 2.929
4.630 4.630 -2.929
Ho Pb Se
5 1 4
direct
0.000 0.000 0.000
0.191 0.601 0.792
0.399 0.191 0.590
0.601 0.809 0.410
0.809 0.399 0.208
0.500 0.500 0.000
0.104 0.300 0.404
0.300 0.896 0.196
0.700 0.104 0.804
0.896 0.700 0.596
```

Computed properties:
* formation energy without anion corrections: -1478 meV/atom
* space group: No. 87


(4)
This record from Alexandria via LeMat-Bulk describes an optimized crystal structure of Ho6PbSe5. The functional is PBE.

POSCAR file:
```
Ho6PbSe5
1.0
3.566 -6.177 0.000
3.566 6.177 0.000
-2.380 0.000 6.769
Ho Pb Se
6 1 5
direct
0.072 0.414 0.741
0.242 0.242 0.255
0.414 0.072 0.741
0.586 0.928 0.259
0.758 0.758 0.745
0.928 0.586 0.259
0.500 0.500 0.000
0.000 0.000 0.500
0.168 0.832 0.000
0.337 0.663 0.500
0.663 0.337 0.500
0.832 0.168 0.000
```

Computed properties:
* formation energy without anion corrections: -1519 meV/atom
* space group: No. 12


> Look up the formation energy without anion corrections of the fourth one.

-1519 meV/atom


> Which of these has the highest formation energy without anion corrections?

HoPbSe


> The lowest formation energy without anion corrections belongs to which entry?

Ho6PbSe5